First-principles (PBE+U) data for crystalline MgNpMnO6 at its relaxed geometry, as listed in Alexandria.

abc: 5.2885 5.2885 8.9076
angles: 90.00 90.00 120.00
Closest atoms and distances in Å follow each position.
Element x y z (fractional)
1 Mg 0.3333 0.6667 0.2500  6 O 2.10
2 Mg 0.6667 0.3333 0.7500  6 O 2.10
3 Np 0.3333 0.6667 0.7500  6 O 2.02
4 Np 0.6667 0.3333 0.2500  6 O 2.02
5 Mn 0.0000 0.0000 0.0000  6 O 2.11
6 Mn 0.0000 0.0000 0.5000  6 O 2.11
7 O 0.0113 0.3409 0.6294  1 Np 2.02, 1 Mg 2.10, 1 Mn 2.11
8 O 0.0113 0.6705 0.8706  1 Np 2.02, 1 Mg 2.10, 1 Mn 2.11
9 O 0.3295 0.3409 0.8706  1 Np 2.02, 1 Mg 2.10, 1 Mn 2.11
10 O 0.3295 0.9887 0.6294  1 Np 2.02, 1 Mg 2.10, 1 Mn 2.11
11 O 0.3409 0.0113 0.1294  1 Np 2.02, 1 Mg 2.10, 1 Mn 2.11
12 O 0.3409 0.3295 0.3706  1 Np 2.02, 1 Mg 2.10, 1 Mn 2.11
13 O 0.6591 0.6705 0.6294  1 Np 2.02, 1 Mg 2.10, 1 Mn 2.11
14 O 0.6591 0.9887 0.8706  1 Np 2.02, 1 Mg 2.10, 1 Mn 2.11
15 O 0.6705 0.0113 0.3706  1 Np 2.02, 1 Mg 2.10, 1 Mn 2.11
16 O 0.6705 0.6591 0.1294  1 Np 2.02, 1 Mg 2.10, 1 Mn 2.11
17 O 0.9887 0.3295 0.1294  1 Np 2.02, 1 Mg 2.10, 1 Mn 2.11
18 O 0.9887 0.6591 0.3706  1 Np 2.02, 1 Mg 2.10, 1 Mn 2.11

Results
The value obtained for the total DFT energy (no corrections) is -7.94 eV per atom. The value obtained for the total magnetic moment is 0.444 μB per atom.